# 1
NdSmIO6: optimized geometry, PBE.

The structure belongs to space group P-31c (No. 163); the cell edges are 5.7553, 5.7553 and 9.7748 Å and the angles 90.00°, 90.00° and 120.00°. The distinct sites, in fractional coordinates, are Nd at (0.0000, 0.0000, 0.0000), Sm at (0.3333, 0.6667, 0.2500), I at (0.3333, 0.6667, 0.7500) and O at (0.0430, 0.3716, 0.6359).

For the formation energy (no corrections), the calculation gives -1.97 eV per atom.


# 2
SrNdIO2: optimized geometry, PBE.

The structure belongs to space group P2_1/m (No. 11); the cell edges are 7.4126, 4.3710 and 8.3526 Å and the angles 90.00°, 105.93° and 90.00°. The distinct sites, in fractional coordinates, are Sr at (0.1506, 0.2500, 0.4156), Nd at (0.1429, 0.2500, 0.9070), I at (0.4616, 0.7500, 0.7536), O at (0.0053, 0.7500, 0.3613) and O at (0.0250, 0.7500, 0.8964).

For the formation energy (no corrections), the calculation gives -2.74 eV per atom.


# 3
Tb2NdIO8: optimized geometry, PBE.

The structure belongs to space group Cmmm (No. 65); the cell edges are 7.1739, 7.1882 and 6.9749 Å and the angles 90.00°, 90.00° and 90.00°. The distinct sites, in fractional coordinates, are Tb at (0.0000, 0.0000, 0.2498), Nd at (0.0000, 0.5000, 0.0000), I at (0.0000, 0.5000, 0.5000), O at (0.0000, 0.1840, 0.0000), O at (0.0000, 0.2352, 0.5000) and O at (0.1819, 0.5000, 0.2987).

For the formation energy (no corrections), the calculation gives -2.30 eV per atom.


# 4
TbNdIO6: optimized geometry, PBE.

The structure belongs to space group P-31c (No. 163); the cell edges are 5.6812, 5.6812 and 9.8700 Å and the angles 90.00°, 90.00° and 120.00°. The distinct sites, in fractional coordinates, are Tb at (0.3333, 0.6667, 0.2500), Nd at (0.0000, 0.0000, 0.0000), I at (0.3333, 0.6667, 0.7500) and O at (0.0367, 0.3707, 0.6371).

For the formation energy (no corrections), the calculation gives -2.01 eV per atom.


# 5
Nd2TlIO8: optimized geometry, PBE.

The structure belongs to space group P-1 (No. 2); the cell edges are 4.9064, 4.9384 and 7.4601 Å and the angles 91.53°, 91.66° and 94.26°. The distinct sites, in fractional coordinates, are Nd at (0.0478, 0.0442, 0.2586), Tl at (0.5000, 0.5000, 0.0000), I at (0.5000, 0.5000, 0.5000), O at (0.1979, 0.2002, 0.9806), O at (0.2164, 0.2302, 0.5376), O at (0.2816, 0.6363, 0.3090) and O at (0.3705, 0.7288, 0.6873).

For the formation energy (no corrections), the calculation gives -1.68 eV per atom.


# 6
NdTl2IO6: optimized geometry, PBE.

The structure belongs to space group R-3m (No. 166, hexagonal axes); the cell edges are 6.3694, 6.3694 and 30.3473 Å and the angles 90.00°, 90.00° and 120.00°. The distinct sites, in fractional coordinates, are Nd at (0.0000, 0.0000, 0.1051), Tl at (0.0000, 0.0000, 0.2455), Tl at (0.0000, 0.0000, 0.3724), I at (0.0000, 0.0000, 0.0000), I at (0.0000, 0.0000, 0.5000), O at (0.0520, 0.5260, 0.2029) and O at (0.0572, 0.5286, 0.6281).

For the formation energy (no corrections), the calculation gives -1.22 eV per atom.


# 7
NdTm2IO8: optimized geometry, PBE.

The structure belongs to space group Cmmm (No. 65); the cell edges are 7.0534, 7.1071 and 6.9041 Å and the angles 90.00°, 90.00° and 90.00°. The distinct sites, in fractional coordinates, are Nd at (0.0000, 0.0000, 0.0000), Tm at (0.0000, 0.5000, 0.2483), I at (0.0000, 0.0000, 0.5000), O at (0.0000, 0.2687, 0.5000), O at (0.0000, 0.3187, 0.0000) and O at (0.1852, 0.0000, 0.2979).

For the formation energy (no corrections), the calculation gives -2.33 eV per atom.


# 8
NdTmIO6: optimized geometry, PBE.

The structure belongs to space group P-31c (No. 163); the cell edges are 5.6021, 5.6021 and 9.9700 Å and the angles 90.00°, 90.00° and 120.00°. The distinct sites, in fractional coordinates, are Nd at (0.0000, 0.0000, 0.0000), Tm at (0.3333, 0.6667, 0.2500), I at (0.3333, 0.6667, 0.7500) and O at (0.0297, 0.3698, 0.6381).

For the formation energy (no corrections), the calculation gives -2.05 eV per atom.


# 9
NdUIO4: optimized geometry, PBE.

The structure belongs to space group C2/m (No. 12); the cell edges are 11.8115, 7.0821 and 6.7188 Å and the angles 90.00°, 94.97° and 90.00°. The distinct sites, in fractional coordinates, are Nd at (0.2469, 0.0000, 0.1145), U at (0.1182, 0.5000, 0.3509), I at (0.0239, 0.0000, 0.7520), O at (0.0562, 0.5000, 0.6871), O at (0.1756, 0.3142, 0.1450) and O at (0.2441, 0.0000, 0.4770).

For the formation energy (no corrections), the calculation gives -2.71 eV per atom.


# 10
NdY2IO8: optimized geometry, PBE.

The structure belongs to space group P2/m (No. 10); the cell edges are 5.0662, 6.9666 and 5.0664 Å and the angles 90.00°, 90.09° and 90.00°. The distinct sites, in fractional coordinates, are Nd at (0.0000, 0.0000, 0.0000), Y at (0.5000, 0.2496, 0.5000), I at (0.0000, 0.5000, 0.0000), O at (0.1826, 0.2987, 0.1814), O at (0.2652, 0.5000, 0.7333) and O at (0.3154, 0.0000, 0.6831).

For the formation energy (no corrections), the calculation gives -2.29 eV per atom.


# 11
Nd2OsI: optimized geometry, PBE.

The structure belongs to space group R-3m (No. 166, hexagonal axes); the cell edges are 4.2079, 4.2079 and 24.2790 Å and the angles 90.00°, 90.00° and 120.00°. The distinct sites, in fractional coordinates, are Nd at (0.0000, 0.0000, 0.2283), Os at (0.0000, 0.0000, 0.5000) and I at (0.0000, 0.0000, 0.0000).

The energy above the most stable polymorph in this dataset comes out at 0.000 eV per atom. For the formation energy (no corrections), the calculation gives -0.48 eV per atom.


# 12
Nd3OsI2: optimized geometry, PBE.

The structure belongs to space group Immm (No. 71); the cell edges are 4.1484, 6.1124 and 15.4172 Å and the angles 90.00°, 90.00° and 90.00°. The distinct sites, in fractional coordinates, are Nd at (0.0000, 0.0000, 0.0000), Nd at (0.0000, 0.0000, 0.3815), Os at (0.0000, 0.5000, 0.0000) and I at (0.0000, 0.5000, 0.3139).

For the formation energy (no corrections), the calculation gives -0.66 eV per atom.


# 13
Nd4OsI5: optimized geometry, PBE.

The structure belongs to space group C2/m (No. 12); the cell edges are 19.7525, 4.2989 and 9.3048 Å and the angles 90.00°, 103.40° and 90.00°. The distinct sites, in fractional coordinates, are Nd at (0.0001, 0.0000, 0.2093), Nd at (0.1407, 0.5000, 0.0733), Os at (0.0000, 0.5000, 0.0000), I at (0.0000, 0.5000, 0.5000), I at (0.1681, 0.0000, 0.3396) and I at (0.1732, 0.0000, 0.8324).

For the formation energy (no corrections), the calculation gives -1.06 eV per atom.


# 14
Nd3OsI3: optimized geometry, PBE.

The structure belongs to space group P2_1/m (No. 11); the cell edges are 9.3153, 4.3485 and 12.6801 Å and the angles 90.00°, 92.54° and 90.00°. The distinct sites, in fractional coordinates, are Nd at (0.0990, 0.2500, 0.3881), Nd at (0.1129, 0.2500, 0.8286), Nd at (0.3028, 0.7500, 0.6157), Os at (0.1040, 0.2500, 0.6168), I at (0.1337, 0.2500, 0.1162), I at (0.3622, 0.7500, 0.8714) and I at (0.4009, 0.7500, 0.3673).

For the formation energy (no corrections), the calculation gives -0.95 eV per atom.


# 15
Nd2OsI: optimized geometry, PBE.

The structure belongs to space group P4/mmm (No. 123); the cell edges are 3.5546, 3.5546 and 8.6169 Å and the angles 90.00°, 90.00° and 90.00°. The distinct sites, in fractional coordinates, are Nd at (0.0000, 0.0000, 0.2016), Os at (0.5000, 0.5000, 0.0000) and I at (0.5000, 0.5000, 0.5000).

The energy above the most stable polymorph in this dataset comes out at 0.044 eV per atom. For the formation energy (no corrections), the calculation gives -0.43 eV per atom.


# 16
Nd8POs3I4: optimized geometry, PBE.

The structure belongs to space group C2/m (No. 12); the cell edges are 14.6726, 8.4748 and 9.3985 Å and the angles 90.00°, 121.29° and 90.00°. The distinct sites, in fractional coordinates, are Nd at (0.0251, 0.2422, 0.3174), Nd at (0.2307, 0.0000, 0.6923), Nd at (0.2326, 0.5000, 0.6823), P at (0.0000, 0.5000, 0.5000), Os at (0.0000, 0.0000, 0.5000), Os at (0.2500, 0.2500, 0.5000), I at (0.0000, 0.0000, 0.0000), I at (0.0000, 0.5000, 0.0000) and I at (0.2500, 0.2500, 0.0000).

For the formation energy (no corrections), the calculation gives -0.72 eV per atom.


# 17
Nd4POsI2: optimized geometry, PBE.

The structure belongs to space group P2/m (No. 10); the cell edges are 7.5373, 4.1836 and 8.2088 Å and the angles 90.00°, 105.99° and 90.00°. The distinct sites, in fractional coordinates, are Nd at (0.2207, 0.0000, 0.1871), Nd at (0.2579, 0.5000, 0.8171), P at (0.5000, 0.0000, 0.0000), Os at (0.0000, 0.5000, 0.0000), I at (0.0000, 0.0000, 0.5000) and I at (0.5000, 0.5000, 0.5000).

For the formation energy (no corrections), the calculation gives -0.93 eV per atom.


# 18
Nd6POs2I3: optimized geometry, PBE.

The structure belongs to space group C2/m (No. 12); the cell edges are 7.3570, 12.7356 and 8.3510 Å and the angles 90.00°, 107.19° and 90.00°. The distinct sites, in fractional coordinates, are Nd at (0.2178, 0.0000, 0.1855), Nd at (0.2329, 0.3280, 0.1862), P at (0.0000, 0.5000, 0.0000), Os at (0.0000, 0.1670, 0.0000), I at (0.0000, 0.0000, 0.5000) and I at (0.0000, 0.3356, 0.5000).

For the formation energy (no corrections), the calculation gives -0.80 eV per atom.


# 19
Nd8Os3PdI4: optimized geometry, PBE.

The structure belongs to space group R-3m (No. 166, hexagonal axes); the cell edges are 8.4156, 8.4156 and 24.4574 Å and the angles 90.00°, 90.00° and 120.00°. The distinct sites, in fractional coordinates, are Nd at (0.0000, 0.0000, 0.2292), Nd at (0.0144, 0.5072, 0.7713), Os at (0.0000, 0.5000, 0.5000), Pd at (0.0000, 0.0000, 0.5000), I at (0.0000, 0.0000, 0.0000) and I at (0.0000, 0.5000, 0.0000).

For the formation energy (no corrections), the calculation gives -0.64 eV per atom.


# 20
Nd6Os2RhI3: optimized geometry, PBE.

The structure belongs to space group C2/m (No. 12); the cell edges are 7.2591, 12.5723 and 8.4958 Å and the angles 90.00°, 106.56° and 90.00°. The distinct sites, in fractional coordinates, are Nd at (0.2226, 0.0000, 0.1854), Nd at (0.2316, 0.3304, 0.1857), Os at (0.0000, 0.1667, 0.0000), Rh at (0.0000, 0.5000, 0.0000), I at (0.0000, 0.0000, 0.5000) and I at (0.0000, 0.3327, 0.5000).

For the formation energy (no corrections), the calculation gives -0.66 eV per atom.


| no. | total magnetic moment (μB/cell) |
| --- | --- |
| 1 | 0.00 |
| 2 | 0.00 |
| 3 | 0.00 |
| 4 | 0.00 |
| 5 | 0.00 |
| 6 | 0.00 |
| 7 | 0.00 |
| 8 | 0.70 |
| 9 | 1.01 |
| 10 | 0.00 |
| 11 | 0.00 |
| 12 | 0.00 |
| 13 | 0.00 |
| 14 | 0.00 |
| 15 | 0.00 |
| 16 | 0.00 |
| 17 | 0.00 |
| 18 | 0.00 |
| 19 | 0.00 |
| 20 | 0.00 |